{
  "formula": "Cs3BaMn2F9",
  "functional": "GGA+U",
  "state": "optimized geometry",
  "lattice": [[6.4788, 0.0000, 0.0000], [-3.2394, 5.6108, 0.0000], [0.0000, 0.0000, 8.1446]],
  "species": ["Cs", "Cs", "Cs", "Ba", "Mn", "Mn", "F", "F", "F", "F", "F", "F", "F", "F", "F"],
  "fractional_positions": [[0.0000, 0.0000, 0.0000], [0.3333, 0.6667, 0.6896], [0.6667, 0.3333, 0.3104], [0.0000, 0.0000, 0.5000], [0.3333, 0.6667, 0.1503], [0.6667, 0.3333, 0.8497], [0.0000, 0.5000, 0.0000], [0.1799, 0.3598, 0.3050], [0.1799, 0.8201, 0.3050], [0.3598, 0.1799, 0.6950], [0.5000, 0.0000, 0.0000], [0.5000, 0.5000, 0.0000], [0.6402, 0.8201, 0.3050], [0.8201, 0.1799, 0.6950], [0.8201, 0.6402, 0.6950]],
  "dos_ef_per_ev_cell": 0.0,
  "e_tot_ev_per_atom": -5.36
}